Below is a relaxed Sm5Y2Ho12 crystal, with properties calculated at the GGA-PBE level.

The calculation puts the calculated volume at 611 Å³ per cell. The space group is P-1 (2). The value obtained for the total energy is -4.7506 eV/atom.

Unit cell a=6.2584 b=12.0598 c=17.2507 alpha=151.23 beta=102.49 gamma=80.34
With the nearest neighbours (Å) after each atom.
Sites, in units of the cell vectors:
Sm1 0.3618 0.6662 0.6598  8 Ho 3.38-3.77, 2 Y 3.41-3.62, 1 Sm 3.54
Sm2 0.2193 0.6827 0.1733  10 Ho 3.35-3.75, 2 Sm 3.47-3.67
Sm3 0.0000 0.0000 0.5000  2 Sm 3.47, 10 Ho 3.55-3.79
Sm4 0.7807 0.3173 0.8267  10 Ho 3.35-3.75, 2 Sm 3.47-3.67
Sm5 0.6382 0.3338 0.3402  8 Ho 3.38-3.77, 2 Y 3.41-3.62, 1 Sm 3.54
Y1 0.7456 0.0648 0.9992  5 Ho 3.24-3.49, 1 Y 3.31, 2 Sm 3.41-3.62
Y2 0.2544 0.9352 0.0008  5 Ho 3.24-3.49, 1 Y 3.31, 2 Sm 3.41-3.62
Ho1 0.1624 0.1156 0.2921  4 Sm 3.38-3.77, 6 Ho 3.42-3.65, 1 Y 3.46
Ho2 0.2662 0.5395 0.8971  1 Y 3.31, 6 Ho 3.40-3.67, 4 Sm 3.43-3.65
Ho3 0.7616 0.7501 0.9622  2 Y 3.24-3.38, 2 Sm 3.35-3.54, 5 Ho 3.38-3.53
Ho4 0.0843 0.5354 0.3717  2 Y 3.49-3.69, 6 Ho 3.50-3.88, 4 Sm 3.65-3.79
Ho5 0.5399 0.7527 0.4262  6 Ho 3.47-3.66, 5 Sm 3.58-3.78
Ho6 0.3129 0.0923 0.7605  7 Ho 3.38-3.65, 5 Sm 3.60-3.68
Ho7 0.6871 0.9077 0.2395  7 Ho 3.38-3.65, 5 Sm 3.60-3.68
Ho8 0.9157 0.4646 0.6283  2 Y 3.49-3.69, 6 Ho 3.50-3.88, 4 Sm 3.65-3.79
Ho9 0.4601 0.2473 0.5738  6 Ho 3.47-3.66, 5 Sm 3.58-3.78
Ho10 0.7338 0.4605 0.1029  1 Y 3.31, 6 Ho 3.40-3.67, 4 Sm 3.43-3.65
Ho11 0.2384 0.2499 0.0378  2 Y 3.24-3.38, 2 Sm 3.35-3.54, 5 Ho 3.38-3.53
Ho12 0.8376 0.8844 0.7079  4 Sm 3.38-3.77, 6 Ho 3.42-3.65, 1 Y 3.46